(1)
This record from Alexandria via LeMat-Bulk describes an optimized crystal structure of In8Se. The functional is GGA-PBEsol.

The calculation puts the uncorrected formation energy at -0.047 eV/atom.

Cell: 3.635 8.097 8.097 Å, 87.11 77.03 77.03°
Fractional coordinates of all 9 atoms:
In  0.343  0.315  0.000
In  0.000  0.333  0.667
In  0.657  0.685  0.000
In  0.000  0.667  0.333
In  0.667  0.333  0.333
In  0.333  0.667  0.667
In  0.343  0.000  0.315
In  0.657  0.000  0.685
Se  0.000  0.000  0.000

=====

(2)
This record from Alexandria via LeMat-Bulk describes an optimized crystal structure of DyCuSi. The functional is GGA-PBEsol.

The calculation puts the uncorrected formation energy at -0.707 eV/atom.

Cell: 4.098 4.098 7.358 Å, 90.00 90.00 120.00°
Fractional coordinates of all 6 atoms:
Si  0.667  0.333  0.250
Si  0.333  0.667  0.750
Dy  0.000  0.000  0.500
Dy  0.000  0.000  0.000
Cu  0.333  0.667  0.250
Cu  0.667  0.333  0.750

=====

(3)
This record from Alexandria via LeMat-Bulk describes an optimized crystal structure of Sr2TlZn2. The functional is GGA-PBEsol.

As for the formation energy: -22.0 kJ per mole of atoms.

Cell: 4.305 8.004 8.004 Å, 90.00 90.00 90.00°
Fractional coordinates of all 10 atoms:
Zn  0.000  0.890  0.610
Zn  0.000  0.390  0.890
Zn  0.000  0.610  0.110
Zn  0.000  0.110  0.390
Tl  0.000  0.500  0.500
Tl  0.000  0.000  0.000
Sr  0.500  0.314  0.186
Sr  0.500  0.186  0.686
Sr  0.500  0.814  0.314
Sr  0.500  0.686  0.814

=====

(4)
This record from Alexandria via LeMat-Bulk describes an optimized crystal structure of LaBe13. The functional is GGA-PBEsol.

As for the formation energy: -12.8 kJ per mole of atoms.

Cell: 7.312 7.312 7.312 Å, 60.00 60.00 60.00°
Fractional coordinates of all 28 atoms:
Be  0.788  0.563  0.437
Be  0.937  0.288  0.712
Be  0.788  0.212  0.563
Be  0.063  0.712  0.288
Be  0.212  0.437  0.563
Be  0.288  0.063  0.712
Be  0.288  0.937  0.063
Be  0.288  0.712  0.937
Be  0.212  0.563  0.788
Be  0.937  0.712  0.063
Be  0.063  0.288  0.937
Be  0.500  0.500  0.500
Be  0.712  0.063  0.937
Be  0.788  0.437  0.212
Be  0.563  0.437  0.788
Be  0.712  0.288  0.063
Be  0.437  0.563  0.212
Be  0.937  0.063  0.288
Be  0.563  0.212  0.437
Be  0.212  0.788  0.437
Be  0.563  0.788  0.212
Be  0.437  0.788  0.563
Be  0.000  0.000  0.000
Be  0.437  0.212  0.788
Be  0.063  0.937  0.712
Be  0.712  0.937  0.288
La  0.250  0.250  0.250
La  0.750  0.750  0.750

=====

(5)
This record from Alexandria via LeMat-Bulk describes an optimized crystal structure of Na5BrCl4. The functional is GGA-PBEsol.

The calculation puts the uncorrected formation energy at -1.743 eV/atom.

Cell: 4.005 4.005 16.523 Å, 83.04 83.04 60.00°
Fractional coordinates of all 10 atoms:
Cl  0.301  0.301  0.098
Cl  0.098  0.098  0.707
Cl  0.699  0.699  0.902
Cl  0.902  0.902  0.293
Na  0.399  0.399  0.804
Na  0.000  0.000  0.000
Na  0.203  0.203  0.391
Na  0.601  0.601  0.196
Na  0.797  0.797  0.609
Br  0.500  0.500  0.500

=====

(6)
This record from Alexandria via LeMat-Bulk describes an optimized crystal structure of TlAg2Se2. The functional is GGA-PBEsol.

The calculation puts the uncorrected formation energy at -0.114 eV/atom. As for the distance to the lowest polymorph of the same formula: 0 meV per atom.

Cell: 4.029 4.029 7.575 Å, 105.42 105.42 90.00°
Fractional coordinates of all 5 atoms:
Se  0.624  0.624  0.248
Se  0.376  0.376  0.752
Ag  0.250  0.750  0.500
Ag  0.750  0.250  0.500
Tl  0.000  0.000  0.000

=====

(7)
This record from Alexandria via LeMat-Bulk describes an optimized crystal structure of ScCl. The functional is GGA-PBEsol.

The calculation puts the uncorrected formation energy at -1.013 eV/atom.

Cell: 3.131 4.608 5.995 Å, 112.60 105.14 90.00°
Fractional coordinates of all 4 atoms:
Cl  0.096  0.846  0.192
Cl  0.904  0.154  0.808
Sc  0.384  0.634  0.767
Sc  0.616  0.366  0.233

=====

(8)
This record from Alexandria via LeMat-Bulk describes an optimized crystal structure of BaMn2Au. The functional is GGA-PBEsol.

As for the formation energy: 31.8 kJ per mole of atoms.

Cell: 4.456 4.456 6.226 Å, 69.03 69.03 60.00°
Fractional coordinates of all 4 atoms:
Au  0.000  0.000  0.000
Mn  0.303  0.303  0.090
Mn  0.697  0.697  0.910
Ba  0.500  0.500  0.500